[1]
Pm4Nd2Y3 | PBE-GGA | optimized geometry

a b c (Å): 15.392 5.145 8.110
angles (deg): 90.00 108.54 90.00
Space group C2/m (No. 12)
Asymmetric unit:
Pm 0.055 0.000 0.334 x4
Pm 0.222 0.500 0.335 x4
Nd 0.166 0.000 0.000 x4
Y 0.000 0.500 0.000 x2
Y 0.111 0.500 0.667 x4

Computed properties:
The value obtained for the total energy is -5.31 eV per atom. The formation energy comes out at 1.4 kJ/mol of atoms. The value obtained for the distance to the lowest polymorph of the same formula is 0.0 meV/atom.

=====

[2]
HgP2ClO | PBE-GGA | optimized geometry

a b c (Å): 5.038 5.038 5.029
angles (deg): 90.00 90.00 90.00
Space group P4/mmm (No. 123)
Asymmetric unit:
Hg 0.000 0.000 0.000 x1
P 0.000 0.500 0.000 x2
Cl 0.000 0.000 0.500 x1
O 0.500 0.500 0.500 x1

Computed properties:
The value obtained for the total energy is -1.98 eV per atom. The value obtained for the distance to the lowest polymorph of the same formula is 1259.9 meV/atom. The calculation puts the formation energy without anion corrections at 1.61 eV per atom.